A plane-wave DFT calculation with GGA-PBE was carried out for crystalline NpGe4Pt12 at its relaxed geometry.

The value obtained for the volume is 316 Å³ per cell. The value obtained for the formation energy is -185 kJ/mol of formula units. The space-group type is Im-3, No. 204.

Cell lengths 7.429, 7.429, 7.429 Å; angles 109.47, 109.47, 109.47 degrees
Fractional coordinates of all 17 atoms:
Np  0.000  0.000  0.000
Ge  0.000  0.500  0.000
Ge  0.500  0.000  0.000
Ge  0.500  0.500  0.500
Ge  0.000  0.000  0.500
Pt  0.844  0.344  0.188
Pt  0.344  0.500  0.156
Pt  0.812  0.156  0.656
Pt  0.344  0.188  0.844
Pt  0.188  0.844  0.344
Pt  0.656  0.500  0.844
Pt  0.500  0.156  0.344
Pt  0.500  0.844  0.656
Pt  0.656  0.812  0.156
Pt  0.844  0.656  0.500
Pt  0.156  0.344  0.500
Pt  0.156  0.656  0.812

---

A plane-wave DFT calculation with GGA-PBE was carried out for crystalline CaMnSbTe2 at its relaxed geometry.

The value obtained for the volume is 191 Å³ per cell. For the uncorrected formation energy, the calculation gives 0.59 eV per atom. The space-group type is P4/mmm, No. 123. The calculation puts the energy above the lowest structure with this stoichiometry at 81.8 kJ/mol of atoms.

Cell lengths 5.759, 5.759, 5.755 Å; angles 90.00, 90.00, 90.00 degrees
Fractional coordinates of all 5 atoms:
Sb  0.000  0.000  0.500
Ca  0.000  0.000  0.000
Te  0.000  0.500  0.000
Te  0.500  0.000  0.000
Mn  0.500  0.500  0.500

---

A plane-wave DFT calculation with GGA-PBE was carried out for crystalline Rb3Tb2InSe6 at its relaxed geometry.

The value obtained for the volume is 373 Å³ per cell. For the uncorrected formation energy, the calculation gives -1.41 eV per atom. The space-group type is C2/m, No. 12.

Cell lengths 7.324, 7.324, 8.382 Å; angles 98.39, 98.39, 120.00 degrees
Fractional coordinates of all 12 atoms:
Rb  0.168  0.832  0.500
Rb  0.832  0.168  0.500
Rb  0.500  0.500  0.500
Tb  0.334  0.666  0.000
Tb  0.666  0.334  0.000
In  0.000  0.000  0.000
Se  0.935  0.608  0.806
Se  0.738  0.738  0.195
Se  0.065  0.392  0.194
Se  0.608  0.935  0.806
Se  0.262  0.262  0.805
Se  0.392  0.065  0.194

---

A plane-wave DFT calculation with GGA-PBE was carried out for crystalline LaSm4Pb4 at its relaxed geometry.

The value obtained for the volume is 655 Å³ per cell. The value obtained for the formation energy is -272 kJ/mol of formula units. The space-group type is P4_2/n, No. 86.

Cell lengths 6.344, 10.160, 10.160 Å; angles 90.00, 90.00, 90.00 degrees
Fractional coordinates of all 18 atoms:
La  0.000  0.000  0.000
La  0.500  0.500  0.500
Sm  0.499  0.306  0.898
Sm  0.999  0.602  0.806
Sm  0.499  0.694  0.102
Sm  0.001  0.194  0.602
Sm  0.501  0.898  0.694
Sm  0.001  0.806  0.398
Sm  0.999  0.398  0.194
Sm  0.501  0.102  0.306
Pb  0.501  0.801  0.394
Pb  0.501  0.199  0.606
Pb  0.001  0.894  0.699
Pb  0.999  0.301  0.894
Pb  0.999  0.699  0.106
Pb  0.499  0.394  0.199
Pb  0.499  0.606  0.801
Pb  0.001  0.106  0.301

---

A plane-wave DFT calculation with GGA-PBE was carried out for crystalline Y3Ho4Tm2 at its relaxed geometry.

The value obtained for the volume is 579 Å³ per cell. The value obtained for the formation energy is 121 kJ/mol of formula units. The space-group type is C2/c, No. 15. The calculation puts the energy above the lowest structure with this stoichiometry at 3.4 kJ/mol of atoms.

Cell lengths 9.701, 9.701, 6.409 Å; angles 101.07, 101.07, 83.37 degrees
Fractional coordinates of all 18 atoms:
Y  0.162  0.047  0.954
Y  0.953  0.838  0.546
Y  0.838  0.953  0.046
Y  0.047  0.162  0.454
Y  0.469  0.531  0.250
Y  0.531  0.469  0.750
Ho  0.292  0.875  0.501
Ho  0.125  0.708  0.999
Ho  0.708  0.125  0.499
Ho  0.875  0.292  0.001
Ho  0.506  0.138  0.884
Ho  0.862  0.494  0.616
Ho  0.494  0.862  0.116
Ho  0.138  0.506  0.384
Tm  0.369  0.208  0.375
Tm  0.792  0.631  0.125
Tm  0.631  0.792  0.625
Tm  0.208  0.369  0.875

---

A plane-wave DFT calculation with GGA-PBE was carried out for crystalline KCuAg2 at its relaxed geometry.

The value obtained for the volume is 89 Å³ per cell. The value obtained for the formation energy is 170 kJ/mol of formula units. The space-group type is F-43m, No. 216. The calculation puts the energy above the lowest structure with this stoichiometry at 20.4 kJ/mol of atoms.

Cell lengths 5.011, 5.011, 5.011 Å; angles 60.00, 60.00, 60.00 degrees
Fractional coordinates of all 4 atoms:
Ag  0.000  0.000  0.000
Ag  0.250  0.250  0.250
Cu  0.500  0.500  0.500
K  0.750  0.750  0.750

---

A plane-wave DFT calculation with GGA-PBE was carried out for crystalline BaNiOs at its relaxed geometry.

The value obtained for the volume is 75 Å³ per cell. The value obtained for the formation energy is 603 kJ/mol of formula units. The space-group type is F-43m, No. 216. The calculation puts the energy above the lowest structure with this stoichiometry at 152.8 kJ/mol of atoms.

Cell lengths 4.733, 4.733, 4.733 Å; angles 60.00, 60.00, 60.00 degrees
Fractional coordinates of all 3 atoms:
Ba  0.750  0.750  0.750
Ni  0.000  0.000  0.000
Os  0.500  0.500  0.500

---

A plane-wave DFT calculation with GGA-PBE was carried out for crystalline Pr5Tm2In at its relaxed geometry.

The value obtained for the volume is 258 Å³ per cell. The value obtained for the formation energy is -51 kJ/mol of formula units. The space-group type is I4mm, No. 107. The calculation puts the energy above the lowest structure with this stoichiometry at 0.0 kJ/mol of atoms.

Cell lengths 7.628, 7.628, 6.981 Å; angles 123.10, 123.09, 90.03 degrees
Fractional coordinates of all 8 atoms:
Pr  0.695  0.241  0.936
Pr  0.241  0.241  0.937
Pr  0.695  0.695  0.936
Pr  0.241  0.695  0.936
Pr  0.774  0.774  0.547
Tm  0.220  0.720  0.439
Tm  0.720  0.220  0.439
In  0.192  0.192  0.383

---

A plane-wave DFT calculation with GGA-PBE was carried out for crystalline SbTe2Os at its relaxed geometry.

The value obtained for the volume is 250 Å³ per cell. For the uncorrected formation energy, the calculation gives 0.55 eV per atom. The space-group type is I-42d, No. 122.

Cell lengths 7.062, 7.062, 7.071 Å; angles 60.04, 60.04, 90.00 degrees
Fractional coordinates of all 8 atoms:
Sb  0.500  0.500  0.000
Sb  0.250  0.750  0.500
Te  0.686  0.125  0.250
Te  0.064  0.625  0.250
Te  0.375  0.314  0.750
Te  0.875  0.936  0.750
Os  0.000  0.000  0.000
Os  0.750  0.250  0.500

---

A plane-wave DFT calculation with GGA-PBE was carried out for crystalline Rb2ZrAgS4 at its relaxed geometry.

The value obtained for the volume is 214 Å³ per cell. For the uncorrected formation energy, the calculation gives -1.01 eV per atom. The space-group type is P2/m, No. 10.

Cell lengths 3.823, 8.060, 7.552 Å; angles 66.89, 90.00, 90.00 degrees
Fractional coordinates of all 8 atoms:
Rb  0.000  0.000  0.000
Rb  0.500  0.000  0.500
Zr  0.000  0.500  0.500
Ag  0.500  0.500  0.000
S  0.000  0.644  0.765
S  0.000  0.356  0.235
S  0.500  0.712  0.314
S  0.500  0.288  0.686

---

A plane-wave DFT calculation with GGA-PBE was carried out for crystalline LiCdGe at its relaxed geometry.

The value obtained for the volume is 260 Å³ per cell. The value obtained for the formation energy is -38 kJ/mol of formula units. The space-group type is P4_2/m, No. 84.

Cell lengths 4.513, 7.590, 7.590 Å; angles 90.00, 90.00, 90.00 degrees
Fractional coordinates of all 12 atoms:
Li  0.500  0.306  0.075
Li  0.000  0.925  0.306
Li  0.000  0.075  0.694
Li  0.500  0.694  0.925
Cd  0.500  0.638  0.331
Cd  0.500  0.362  0.669
Cd  0.000  0.331  0.362
Cd  0.000  0.669  0.638
Ge  0.500  0.875  0.610
Ge  0.000  0.390  0.875
Ge  0.000  0.610  0.125
Ge  0.500  0.125  0.390

---

A plane-wave DFT calculation with GGA-PBE was carried out for crystalline Ce3Pr4PuN8 at its relaxed geometry.

The value obtained for the volume is 266 Å³ per cell. For the uncorrected formation energy, the calculation gives -1.38 eV per atom. The space-group type is R-3m, No. 166.

Cell lengths 7.211, 7.226, 7.211 Å; angles 119.94, 120.00, 90.00 degrees
Fractional coordinates of all 16 atoms:
Ce  0.500  0.500  0.000
Ce  0.500  0.500  0.500
Ce  0.000  0.500  0.500
Pr  0.500  0.000  0.000
Pr  0.500  0.000  0.500
Pr  0.000  0.000  0.000
Pr  0.000  0.000  0.500
Pu  0.000  0.500  0.000
N  0.240  0.727  0.987
N  0.240  0.727  0.480
N  0.257  0.271  0.514
N  0.747  0.727  0.987
N  0.253  0.273  0.013
N  0.743  0.729  0.486
N  0.760  0.273  0.520
N  0.760  0.273  0.013

---

Electronic total energy list, top to bottom, in eV per atom: -6.224; -3.725; -4.397; -4.607; -5.044; -2.282; -4.228; -4.513; -4.856; -4.736; -2.613; -8.748